Below is crystalline Na4CO4 at its relaxed geometry, with properties calculated at the PBE level.

Output
energy above the most stable polymorph in this dataset: 174 meV/atom
uncorrected formation energy: -1.323 eV/atom

```
Na4CO4
1.0
3.1251 1.8043 3.9207
-3.1251 1.8043 3.9207
0.0000 -3.6086 3.9207
Na C O
4 1 4
direct
0.0000 0.0000 0.0000
0.3974 0.3974 0.8800
0.3974 0.8800 0.3974
0.8800 0.3974 0.3974
0.7837 0.7837 0.7837
0.5765 0.9523 0.9523
0.6672 0.6672 0.6672
0.9523 0.5765 0.9523
0.9523 0.9523 0.5765
```


Below is crystalline Na4CO4 at its relaxed geometry, with properties calculated at the PBE level.

Output
energy above the most stable polymorph in this dataset: 96 meV/atom
uncorrected formation energy: -1.401 eV/atom

```
Na4CO4
1.0
3.2579 -4.3663 0.0000
3.2579 4.3663 0.0000
-2.6076 0.0000 4.7991
Na C O
4 1 4
direct
0.0000 0.0000 0.0000
0.0033 0.4747 0.5285
0.4747 0.0033 0.5285
0.5229 0.5229 0.0524
0.9234 0.9234 0.4505
0.0200 0.7543 0.2814
0.1576 0.1576 0.6851
0.7543 0.0200 0.2814
0.7536 0.7536 0.5459
```


Q: Which value of energy above the most stable polymorph in this dataset does entry 2 give?
A: 96 meV/atom